(1)
VASP calculation (PBE) on Ga4Bi3N after structural relaxation.

Cell and atoms, written as extended XYZ:
```
8
Lattice="4.530 -5.496 0.000 4.530 5.496 0.000 0.000 0.000 4.221" Properties=species:S:1:pos:R:3 pbc="T T T"
Ga 4.530 -1.014 2.110
Ga 1.573 0.896 0.000
Ga 7.487 0.896 0.000
Ga 4.530 4.298 2.110
Bi 2.429 -2.818 2.110
Bi 6.631 -2.818 2.110
Bi 4.530 0.829 0.000
N 4.530 5.227 0.000
```

For the magnetization, the calculation gives 0.0 μB/cell. The density comes out at 7.3 Mg/m³. Its space group is Amm2, No. 38. The raw formation energy comes out at 0.195 eV per atom. As for the calculated volume: 210.14 Å³/cell. As for the density of states at the Fermi level: 0.293 states/eV per atom.


(2)
VASP calculation (PBE) on GaBiN3 after structural relaxation.

Cell and atoms, written as extended XYZ:
```
5
Lattice="-2.367 2.514 2.696 -2.202 -3.533 1.362 2.956 -0.620 3.173" Properties=species:S:1:pos:R:3 pbc="T T T"
Bi 0.000 0.000 0.000
Ga -0.806 -0.820 3.615
N -1.101 -1.767 0.681
N 1.478 -0.310 1.586
N -1.183 1.257 1.348
```

For the magnetization, the calculation gives 3.1 μB/cell. The density comes out at 6.3 Mg/m³. Its space group is Pm-3m, No. 221. The raw formation energy comes out at 1.976 eV per atom. As for the calculated volume: 84.05 Å³/cell. As for the density of states at the Fermi level: 0.601 states/eV per atom.


(3)
VASP calculation (PBE) on GaBiN2 after structural relaxation.

Cell and atoms, written as extended XYZ:
```
4
Lattice="-5.887 2.245 0.969 -6.121 -1.521 0.929 -4.930 0.262 4.033" Properties=species:S:1:pos:R:3 pbc="T T T"
Bi -8.469 0.493 2.966
Ga 0.000 0.000 0.000
N -15.272 0.889 5.348
N -1.665 0.097 0.583
```

For the magnetization, the calculation gives 0.0 μB/cell. The density comes out at 6.9 Mg/m³. The distance to the lowest polymorph of the same formula is 394 meV/atom. Its space group is R-3m, No. 166. The raw formation energy comes out at 0.571 eV per atom. As for the calculated volume: 73.87 Å³/cell. As for the density of states at the Fermi level: 0.000 states/eV per atom.


(4)
VASP calculation (PBE) on GaBi2N after structural relaxation.

Cell and atoms, written as extended XYZ:
```
8
Lattice="-1.607 4.334 -3.490 -4.676 -3.022 -1.599 -6.451 3.260 2.213" Properties=species:S:1:pos:R:3 pbc="T T T"
Bi -3.095 2.860 -1.597
Bi -4.842 -0.245 -1.113
Bi -7.503 2.738 -0.355
Bi -10.027 3.794 -2.688
Ga 0.000 0.000 0.000
Ga -5.600 4.126 -1.911
N -3.142 0.656 -2.545
N -7.134 0.448 -0.965
```

For the magnetization, the calculation gives 0.0 μB/cell. The density comes out at 7.8 Mg/m³. The distance to the lowest polymorph of the same formula is 0 meV/atom. Its space group is I-42d, No. 122. The raw formation energy comes out at 0.592 eV per atom. As for the calculated volume: 213.16 Å³/cell. As for the density of states at the Fermi level: 0.092 states/eV per atom.


(5)
VASP calculation (PBE) on GaBiN2 after structural relaxation.

Cell and atoms, written as extended XYZ:
```
16
Lattice="-1.269 -4.189 4.852 3.636 -3.868 -2.388 6.729 1.642 3.177" Properties=species:S:1:pos:R:3 pbc="T T T"
Ga 1.360 -3.879 2.634
Ga 6.198 0.324 3.128
Ga 7.736 -2.536 3.007
Ga 2.898 -6.738 2.513
Bi 3.051 -1.189 0.787
Bi 4.569 -2.164 4.742
Bi 6.045 -5.226 4.854
Bi 4.527 -4.251 0.899
N 0.942 -0.407 0.998
N 6.652 -3.030 4.627
N 8.154 -6.008 4.643
N 2.444 -3.385 1.014
N 0.732 -2.472 3.752
N 6.807 -1.147 2.085
N 8.364 -3.942 1.888
N 2.289 -5.267 3.556
```

For the magnetization, the calculation gives 0.0 μB/cell. The density comes out at 7.2 Mg/m³. The distance to the lowest polymorph of the same formula is 0 meV/atom. Its space group is P2_1/c, No. 14. The raw formation energy comes out at 0.177 eV per atom. As for the calculated volume: 281.54 Å³/cell.


(6)
VASP calculation (PBE) on GaBi2N3 after structural relaxation.

Cell and atoms, written as extended XYZ:
```
24
Lattice="5.282 2.909 0.043 -5.282 2.909 0.043 0.000 1.184 14.905" Properties=species:S:1:pos:R:3 pbc="T T T"
Ga 0.558 2.496 10.082
Ga 0.558 5.097 12.361
Ga -0.558 4.505 4.908
Ga -0.558 1.904 2.629
Bi -1.304 2.493 13.885
Bi -1.304 5.100 8.558
Bi 1.304 4.508 1.105
Bi 1.304 1.902 6.432
Bi 2.015 5.423 9.611
Bi 2.015 2.170 12.833
Bi -2.015 1.579 5.380
Bi -2.015 4.831 2.158
N 1.529 3.797 11.222
N -1.529 3.205 3.769
N -1.146 3.049 9.393
N -1.146 4.544 13.050
N 1.146 3.952 5.598
N 1.146 2.458 1.940
N -1.757 1.522 1.135
N -1.757 4.888 6.403
N 1.757 5.480 13.855
N 1.757 2.113 8.588
N -4.287 3.797 11.222
N 4.287 3.205 3.769
```

For the magnetization, the calculation gives 0.0 μB/cell. The density comes out at 7.7 Mg/m³. Its space group is C2/c, No. 15. The raw formation energy comes out at 0.404 eV per atom. As for the calculated volume: 457.55 Å³/cell.


(7)
VASP calculation (PBE) on Nd4GaBiN after structural relaxation.

Cell and atoms, written as extended XYZ:
```
14
Lattice="-4.815 3.765 -3.257 -1.729 -5.527 -3.834 -3.072 -4.050 7.224" Properties=species:S:1:pos:R:3 pbc="T T T"
Nd -7.421 -1.312 2.092
Nd -5.755 -5.909 1.678
Nd -2.194 -4.501 -1.958
Nd -3.860 0.097 -1.545
Nd -4.808 -2.906 0.067
Nd -1.536 -2.025 3.612
Nd -3.944 -0.143 1.984
Nd -2.400 -4.789 1.695
Ga -1.708 -1.887 0.345
Ga -7.907 -3.926 -0.211
Bi -4.853 -2.718 -3.330
Bi -4.762 -3.095 3.463
N -3.963 -5.201 -0.152
N -5.652 -0.612 0.285
```

For the magnetization, the calculation gives 0.0 μB/cell. The density comes out at 7.4 Mg/m³. Its space group is Cmcm, No. 63. The raw formation energy comes out at -0.791 eV per atom. As for the calculated volume: 390.88 Å³/cell. As for the density of states at the Fermi level: 0.627 states/eV per atom.


(8)
VASP calculation (PBE) on GaNiBi2N after structural relaxation.

Cell and atoms, written as extended XYZ:
```
5
Lattice="-1.240 -4.905 -0.318 0.824 -0.452 3.764 -4.796 1.136 1.186" Properties=species:S:1:pos:R:3 pbc="T T T"
Ni -2.607 -2.111 2.316
Bi -2.398 0.568 0.593
Bi -0.620 -2.453 -0.159
Ga 0.412 -0.226 1.882
N 0.000 0.000 0.000
```

For the magnetization, the calculation gives 0.0 μB/cell. The density comes out at 9.3 Mg/m³. Its space group is P4/mmm, No. 123. The raw formation energy comes out at 0.557 eV per atom. As for the calculated volume: 99.71 Å³/cell. As for the density of states at the Fermi level: 0.386 states/eV per atom.


(9)
VASP calculation (PBE) on Ga2BiNO after structural relaxation.

Cell and atoms, written as extended XYZ:
```
5
Lattice="4.077 0.000 0.000 0.000 5.384 0.000 0.000 0.000 4.077" Properties=species:S:1:pos:R:3 pbc="T T T"
O 2.039 2.692 2.039
Bi 0.000 2.692 0.000
Ga 0.000 0.000 2.039
Ga 2.039 0.000 0.000
N 0.000 0.000 0.000
```

For the magnetization, the calculation gives 0.0 μB/cell. The density comes out at 7.0 Mg/m³. Its space group is P4/mmm, No. 123. The raw formation energy comes out at 0.478 eV per atom. As for the calculated volume: 89.50 Å³/cell. As for the density of states at the Fermi level: 0.435 states/eV per atom.


(10)
VASP calculation (PBE) on Pm4GaBiN after structural relaxation.

Cell and atoms, written as extended XYZ:
```
14
Lattice="-6.256 -2.654 0.946 -0.325 -1.616 -6.680 6.421 -5.871 1.109" Properties=species:S:1:pos:R:3 pbc="T T T"
Pm -0.458 -7.743 0.124
Pm 2.433 -7.062 -3.724
Pm 0.299 -2.397 -4.749
Pm -2.592 -3.079 -0.901
Pm -0.080 -5.070 -2.313
Pm 3.210 -2.935 0.554
Pm 0.082 -4.262 1.027
Pm 3.048 -3.743 -2.786
Ga 0.684 -2.076 -1.303
Ga -0.843 -8.065 -3.323
Bi -2.682 -4.046 -4.206
Bi 2.522 -6.095 -0.419
N 1.363 -4.724 -4.238
N -1.523 -5.416 -0.387
```

For the magnetization, the calculation gives 0.0 μB/cell. The density comes out at 7.6 Mg/m³. Its space group is Cmcm, No. 63. The raw formation energy comes out at -0.817 eV per atom. As for the calculated volume: 381.00 Å³/cell. As for the density of states at the Fermi level: 0.620 states/eV per atom.


(11)
VASP calculation (PBE) on GaBiSN2 after structural relaxation.

Cell and atoms, written as extended XYZ:
```
5
Lattice="4.420 0.000 0.000 0.000 4.420 0.000 0.000 0.000 5.427" Properties=species:S:1:pos:R:3 pbc="T T T"
S 0.000 0.000 2.713
Bi 0.000 0.000 0.000
Ga 2.210 2.210 2.713
N 0.000 2.210 0.000
N 2.210 0.000 0.000
```

For the magnetization, the calculation gives 2.4 μB/cell. The density comes out at 5.3 Mg/m³. The distance to the lowest polymorph of the same formula is 474 meV/atom. Its space group is P4/mmm, No. 123. The raw formation energy comes out at 1.416 eV per atom. As for the calculated volume: 106.00 Å³/cell. As for the density of states at the Fermi level: 0.670 states/eV per atom.


(12)
VASP calculation (PBE) on GaBiSN2 after structural relaxation.

Cell and atoms, written as extended XYZ:
```
5
Lattice="-0.357 -3.115 2.495 2.917 1.506 2.298 -3.331 2.471 2.608" Properties=species:S:1:pos:R:3 pbc="T T T"
S -1.665 1.235 1.304
Bi -0.385 0.431 3.700
Ga 0.000 0.000 0.000
N 1.458 0.753 1.149
N -0.179 -1.557 1.247
```

For the magnetization, the calculation gives 1.5 μB/cell. The density comes out at 7.2 Mg/m³. The distance to the lowest polymorph of the same formula is 0 meV/atom. Its space group is P4/mmm, No. 123. The raw formation energy comes out at 0.941 eV per atom. As for the calculated volume: 78.65 Å³/cell. As for the density of states at the Fermi level: 0.468 states/eV per atom.